The following is a DFT calculation (GGA+U) of a relaxed Pu2FeF11 crystal.

The structure belongs to space group Ibam (No. 72); the cell edges are 8.374, 10.254 and 10.591 Å and the angles 90.00°, 90.00° and 90.00°. The asymmetric unit holds Pu at (0.175, 0.168, 0.000), Fe at (0.000, 0.500, 0.250), F at (0.000, 0.000, 0.000), F at (0.105, 0.289, 0.148), F at (0.124, 0.213, 0.500) and F at (0.191, 0.447, 0.366).

Its spin magnetization is 11.00 μB/f.u. For the calculated total energy, the calculation gives -6.960 eV/atom.